Entry 1:
This record from the Alexandria database describes a relaxed SrHo2Cd9 crystal. The functional is PBE.

As for the energy: -1.82 eV per atom. The total magnetization is 0.0 Bohr magnetons per cell. The density of states at the Fermi level comes out at 0.63 states/eV/atom. The value obtained for the volume is 24.95 Å³/atom.

Cell: 6.0348 6.0348 10.1108 Å, 72.64 72.64 60.00°
Positions (direct):
Cd 0.6643 0.6643 0.0071
Cd 0.4086 0.9230 0.2598
Cd 0.4086 0.4086 0.2598
Cd 0.3357 0.3357 0.9929
Cd 0.5914 0.5914 0.7402
Cd 0.9230 0.4086 0.2598
Cd 0.0770 0.5914 0.7402
Cd 0.5914 0.0770 0.7402
Cd 0.5000 0.5000 0.5000
Ho 0.8543 0.8543 0.4371
Ho 0.1457 0.1457 0.5629
Sr 0.0000 0.0000 0.0000

=====

Entry 2:
This record from the Alexandria database describes a relaxed Sr2HoCd crystal. The functional is PBE.

As for the energy: -1.97 eV per atom. The total magnetization is 0.6 Bohr magnetons per cell. The density of states at the Fermi level comes out at 1.32 states/eV/atom. The value obtained for the volume is 38.91 Å³/atom.

Cell: 3.8068 3.8068 12.5938 Å, 81.31 81.31 60.00°
Positions (direct):
Sr 0.9045 0.9045 0.2864
Sr 0.0955 0.0955 0.7136
Cd 0.5000 0.5000 0.5000
Ho 0.0000 0.0000 0.0000

=====

Entry 3:
This record from the Alexandria database describes a relaxed SrHoCd crystal. The functional is PBE.

As for the energy: -2.51 eV per atom. The total magnetization is 0.0 Bohr magnetons per cell. The density of states at the Fermi level comes out at 1.12 states/eV/atom. The value obtained for the volume is 33.63 Å³/atom.

Cell: 3.8597 3.8597 7.3024 Å, 105.32 105.32 90.00°
Positions (direct):
Ho 0.3000 0.3000 0.6000
Cd 0.6832 0.6832 0.3665
Sr 0.0167 0.0167 0.0335

=====

- volume of number 1 (SrHo2Cd9)?
  24.95 Å³/atom

=====

- Look up the energy of the third one.
  -2.51 eV per atom